[1]
A plane-wave DFT calculation with GGA-PBE was carried out for SrLiCo2 after structural relaxation.

Cell and atoms, written as POSCAR:
```
SrLiCo2
1.0
1.5101 0.8718 8.7655
-1.5101 0.8718 8.7655
0.0000 -1.7437 8.7655
Sr Li Co
1 1 2
direct
0.0000 0.0000 0.0000 Sr
0.5000 0.5000 0.5000 Li
0.2415 0.2415 0.2415 Co
0.7585 0.7585 0.7585 Co
```

* formation energy: 0.952 eV per atom
* space group: R-3m, No. 166
* calculated total energy: -3.500 eV per atom
* offset from the most stable computed form: 3.04 eV/f.u.


[2]
A plane-wave DFT calculation with GGA-PBE was carried out for TbTh2Pd4 after structural relaxation.

Cell and atoms, written as POSCAR:
```
TbTh2Pd4
1.0
4.4952 -2.8635 0.0000
4.4952 2.8635 0.0000
-3.8523 0.0000 6.8363
Tb Th Pd
1 2 4
direct
0.0000 0.0000 0.0000 Tb
0.2913 0.2913 0.6834 Th
0.7087 0.7087 0.3166 Th
0.0000 0.5000 0.0000 Pd
0.3370 0.3370 0.3510 Pd
0.5000 0.0000 0.0000 Pd
0.6630 0.6630 0.6490 Pd
```

* formation energy: -0.497 eV per atom
* space group: C2/m, No. 12
* calculated total energy: -6.245 eV per atom


[3]
A plane-wave DFT calculation with GGA-PBE was carried out for Ho3NiPd after structural relaxation.

Cell and atoms, written as POSCAR:
```
Ho3NiPd
1.0
7.6338 -1.9544 0.0000
7.6338 1.9544 0.0000
-0.2865 0.0000 7.8227
Ho Ni Pd
6 2 2
direct
0.0564 0.0564 0.3098 Ho
0.2368 0.2368 0.6912 Ho
0.3950 0.3950 0.0548 Ho
0.6050 0.6050 0.9452 Ho
0.7632 0.7632 0.3088 Ho
0.9436 0.9436 0.6902 Ho
0.2117 0.2117 0.0721 Ni
0.7883 0.7883 0.9279 Ni
0.4055 0.4055 0.4299 Pd
0.5945 0.5945 0.5701 Pd
```

* formation energy: -0.532 eV per atom
* space group: C2/m, No. 12
* calculated total energy: -5.473 eV per atom
* offset from the most stable computed form: 0.00 eV/f.u.


[4]
A plane-wave DFT calculation with GGA-PBE was carried out for Pr2YTm8 after structural relaxation.

Cell and atoms, written as POSCAR:
```
Pr2YTm8
1.0
4.5258 -7.9840 0.0000
4.5258 7.9840 0.0000
-3.2500 0.0000 4.8833
Pr Y Tm
2 1 8
direct
0.1932 0.8068 0.0000 Pr
0.8068 0.1932 0.0000 Pr
0.5000 0.5000 0.5000 Y
0.0668 0.0668 0.2959 Tm
0.1697 0.4025 0.8245 Tm
0.2926 0.7074 0.5000 Tm
0.4025 0.1697 0.8245 Tm
0.5975 0.8303 0.1755 Tm
0.7074 0.2926 0.5000 Tm
0.8303 0.5975 0.1755 Tm
0.9332 0.9332 0.7041 Tm
```

* formation energy: 0.158 eV per atom
* space group: C2/m, No. 12
* calculated total energy: -4.550 eV per atom
* offset from the most stable computed form: 0.00 eV/f.u.


[5]
A plane-wave DFT calculation with GGA-PBE was carried out for CrTc2Ag after structural relaxation.

Cell and atoms, written as POSCAR:
```
CrTc2Ag
1.0
2.7062 0.0000 0.0000
0.0000 2.7062 0.0000
0.0000 0.0000 8.0722
Cr Tc Ag
1 2 1
direct
0.0000 0.0000 0.0000 Cr
0.0000 0.0000 0.4569 Tc
0.5000 0.5000 0.2216 Tc
0.5000 0.5000 0.7376 Ag
```

* formation energy: 0.396 eV per atom
* space group: P4mm, No. 99
* calculated total energy: -7.905 eV per atom
* offset from the most stable computed form: 0.37 eV/f.u.


[6]
A plane-wave DFT calculation with GGA-PBE was carried out for Fe3PPd after structural relaxation.

Cell and atoms, written as POSCAR:
```
Fe3PPd
1.0
4.6037 0.0000 0.0000
0.0000 4.6037 0.0000
0.0000 0.0000 4.6037
Fe P Pd
3 1 1
direct
0.0000 0.0000 0.5000 Fe
0.0000 0.5000 0.0000 Fe
0.5000 0.0000 0.0000 Fe
0.5000 0.5000 0.5000 P
0.0000 0.0000 0.0000 Pd
```

* formation energy: 1.343 eV per atom
* space group: Pm-3m, No. 221
* calculated total energy: -5.856 eV per atom
* offset from the most stable computed form: 5.30 eV/f.u.


[7]
A plane-wave DFT calculation with GGA-PBE was carried out for TaTl2Cd after structural relaxation.

Cell and atoms, written as POSCAR:
```
TaTl2Cd
1.0
1.6132 0.9314 10.3399
-1.6132 0.9314 10.3399
0.0000 -1.8628 10.3399
Ta Tl Cd
1 2 1
direct
0.0000 0.0000 0.0000 Ta
0.5037 0.5037 0.5037 Tl
0.7458 0.7458 0.7458 Tl
0.2580 0.2580 0.2580 Cd
```

* formation energy: 0.396 eV per atom
* space group: R3m, No. 160
* calculated total energy: -3.980 eV per atom
* offset from the most stable computed form: 0.02 eV/f.u.


[8]
A plane-wave DFT calculation with GGA-PBE was carried out for TmZrSn after structural relaxation.

Cell and atoms, written as POSCAR:
```
TmZrSn
1.0
5.0368 0.0000 0.0000
-2.5184 4.3620 0.0000
0.0000 0.0000 3.4557
Tm Zr Sn
1 1 1
direct
0.0000 0.0000 0.0000 Tm
0.6667 0.3333 0.4532 Zr
0.3333 0.6667 0.6343 Sn
```

* formation energy: -0.198 eV per atom
* space group: P3m1, No. 156
* calculated total energy: -5.873 eV per atom


What did the fourth record say?
A plane-wave DFT calculation with GGA-PBE was carried out for Pr2YTm8 after structural relaxation.

Cell and atoms, written as POSCAR:
```
Pr2YTm8
1.0
4.5258 -7.9840 0.0000
4.5258 7.9840 0.0000
-3.2500 0.0000 4.8833
Pr Y Tm
2 1 8
direct
0.1932 0.8068 0.0000 Pr
0.8068 0.1932 0.0000 Pr
0.5000 0.5000 0.5000 Y
0.0668 0.0668 0.2959 Tm
0.1697 0.4025 0.8245 Tm
0.2926 0.7074 0.5000 Tm
0.4025 0.1697 0.8245 Tm
0.5975 0.8303 0.1755 Tm
0.7074 0.2926 0.5000 Tm
0.8303 0.5975 0.1755 Tm
0.9332 0.9332 0.7041 Tm
```

* formation energy: 0.158 eV per atom
* space group: C2/m, No. 12
* calculated total energy: -4.550 eV per atom
* offset from the most stable computed form: 0.00 eV/f.u.


Q: Which of these has the highest calculated total energy?
A: SrLiCo2


Q: Among the records above, which one has the highest calculated total energy?
A: SrLiCo2